1.
# Ag3GeRh

A geometry-optimized Ag3GeRh structure (GGA-PBEsol, Alexandria).

Properties
Energy relative to the elements: 969.8 meV per atom

Lattice parameters (Å, degrees): 4.643 4.643 4.643 90.00 90.00 90.00
Each line ends with the local moment (μB).
Fractional positions:
Ge  0.000  0.000  0.000  0.00
Rh  0.500  0.500  0.500  0.21
Ag  0.000  0.500  0.000  0.00
Ag  0.000  0.000  0.500  0.00
Ag  0.500  0.000  0.000  0.00


2.
# TiAgGe2Rh

A geometry-optimized TiAgGe2Rh structure (GGA-PBEsol, Alexandria).

Properties
Energy relative to the elements: 1085.7 meV per atom

Lattice parameters (Å, degrees): 4.653 4.653 4.782 90.00 90.00 90.00
Fractional positions:
Ge  0.000  0.500  0.000
Ge  0.500  0.000  0.000
Rh  0.500  0.500  0.500
Ag  0.000  0.000  0.500
Ti  0.000  0.000  0.000


3.
# TiAgGeRh2

A geometry-optimized TiAgGeRh2 structure (GGA-PBEsol, Alexandria).

Properties
Energy relative to the elements: 1338.4 meV per atom

Lattice parameters (Å, degrees): 4.426 4.765 4.765 90.00 90.00 90.00
Each line ends with the local moment (μB).
Fractional positions:
Ge  0.500  0.000  0.000  0.00
Rh  0.000  0.000  0.500  -0.01
Rh  0.000  0.500  0.000  -0.01
Ag  0.000  0.000  0.000  -0.01
Ti  0.500  0.500  0.500  0.62


4.
# AgGe3Ru

A geometry-optimized AgGe3Ru structure (GGA-PBEsol, Alexandria).

Properties
Energy relative to the elements: 403.5 meV per atom

Lattice parameters (Å, degrees): 4.711 4.711 4.711 90.00 90.00 90.00
Fractional positions:
Ru  0.000  0.000  0.000
Ge  0.000  0.500  0.000
Ge  0.000  0.000  0.500
Ge  0.500  0.000  0.000
Ag  0.500  0.500  0.500


5.
# SiAg2GeS

A geometry-optimized SiAg2GeS structure (GGA-PBEsol, Alexandria).

Properties
ΔE_f (raw): 0.69 eV/atom

Lattice parameters (Å, degrees): 4.567 4.567 5.155 90.00 90.00 90.00
Fractional positions:
Ge  0.000  0.000  0.500
Si  0.500  0.500  0.500
S  0.000  0.000  0.000
Ag  0.000  0.500  0.000
Ag  0.500  0.000  0.000


6.
# Y6AgGe2S14

A geometry-optimized Y6AgGe2S14 structure (GGA-PBEsol, Alexandria).

Properties
ΔE_f (raw): -1.50 eV/atom

Lattice parameters (Å, degrees): 5.637 9.762 9.762 120.00 90.00 90.00
Fractional positions:
Y  0.739  0.644  0.774
Y  0.739  0.130  0.356
Y  0.739  0.226  0.870
Y  0.240  0.356  0.227
Y  0.240  0.871  0.644
Y  0.240  0.773  0.129
Ag  0.472  0.000  0.000
Ge  0.816  0.667  0.333
Ge  0.322  0.333  0.667
S  0.430  0.667  0.333
S  0.935  0.333  0.667
S  0.223  0.739  0.834
S  0.223  0.095  0.261
S  0.223  0.166  0.905
S  0.715  0.262  0.163
S  0.715  0.902  0.738
S  0.715  0.837  0.098
S  0.485  0.483  0.904
S  0.485  0.420  0.517
S  0.485  0.096  0.580
S  0.981  0.516  0.096
S  0.981  0.580  0.484
S  0.981  0.904  0.420


7.
# Ag3GeSb

A geometry-optimized Ag3GeSb structure (GGA-PBEsol, Alexandria).

Properties
ΔE_f (raw): 0.55 eV/atom

Lattice parameters (Å, degrees): 4.829 4.829 4.829 90.00 90.00 90.00
Fractional positions:
Sb  0.500  0.500  0.500
Ge  0.000  0.000  0.000
Ag  0.000  0.500  0.000
Ag  0.000  0.000  0.500
Ag  0.500  0.000  0.000


8.
# ScAgSnGe2

A geometry-optimized ScAgSnGe2 structure (GGA-PBEsol, Alexandria).

Properties
Energy relative to the elements: 568.3 meV per atom

Lattice parameters (Å, degrees): 5.024 5.024 5.110 90.00 90.00 90.00
Fractional positions:
Sc  0.000  0.000  0.000
Ge  0.000  0.500  0.000
Ge  0.500  0.000  0.000
Sn  0.500  0.500  0.500
Ag  0.000  0.000  0.500


9.
# Ag8GeSe6

A geometry-optimized Ag8GeSe6 structure (GGA-PBEsol, Alexandria).

Properties
ΔE_f (raw): -0.11 eV/atom

Lattice parameters (Å, degrees): 7.601 7.859 10.669 90.00 90.00 90.00
Fractional positions:
Ag  0.723  0.000  0.478
Ag  0.277  0.500  0.978
Ag  0.166  0.795  0.152
Ag  0.834  0.705  0.652
Ag  0.834  0.295  0.652
Ag  0.166  0.205  0.152
Ag  0.543  0.807  0.269
Ag  0.457  0.693  0.769
Ag  0.457  0.307  0.769
Ag  0.543  0.193  0.269
Ag  0.101  0.788  0.866
Ag  0.899  0.712  0.366
Ag  0.899  0.288  0.366
Ag  0.101  0.212  0.866
Ag  0.375  0.500  0.545
Ag  0.625  0.000  0.045
Ge  0.250  0.000  0.522
Ge  0.750  0.500  0.022
Se  0.253  0.250  0.398
Se  0.747  0.250  0.898
Se  0.505  0.500  0.156
Se  0.495  0.000  0.656
Se  0.998  0.500  0.157
Se  0.002  0.000  0.657
Se  0.171  0.500  0.742
Se  0.829  0.000  0.242
Se  0.707  0.500  0.492
Se  0.293  0.000  0.992
Se  0.253  0.750  0.398
Se  0.747  0.750  0.898


10.
# Si2Ag2Ge

A geometry-optimized Si2Ag2Ge structure (GGA-PBEsol, Alexandria).

Properties
ΔE_f (raw): 0.31 eV/atom

Lattice parameters (Å, degrees): 3.475 3.475 7.556 103.30 103.30 90.00
Fractional positions:
Ge  0.000  0.000  0.000
Si  0.250  0.750  0.500
Si  0.750  0.250  0.500
Ag  0.399  0.399  0.799
Ag  0.601  0.601  0.201


11.
# SrAgGe

A geometry-optimized SrAgGe structure (GGA-PBEsol, Alexandria).

Properties
Energy relative to the elements: -428.7 meV per atom

Lattice parameters (Å, degrees): 4.621 5.933 14.570 78.66 80.88 67.08
Fractional positions:
Sr  0.241  0.333  0.185
Sr  0.770  0.650  0.811
Sr  0.611  0.198  0.580
Sr  0.374  0.829  0.422
Sr  0.004  0.993  0.999
Ag  0.908  0.596  0.589
Ag  0.081  0.433  0.405
Ag  0.531  0.732  0.207
Ag  0.477  0.235  0.810
Ag  0.707  0.552  0.033
Ge  0.305  0.424  0.966
Ge  0.924  0.891  0.262
Ge  0.075  0.114  0.737
Ge  0.692  0.273  0.342
Ge  0.301  0.748  0.651


12.
# SrAg2Ge2

A geometry-optimized SrAg2Ge2 structure (GGA-PBEsol, Alexandria).

Properties
Energy relative to the elements: -380.4 meV per atom

Lattice parameters (Å, degrees): 4.411 4.411 6.180 110.91 110.91 90.00
Fractional positions:
Sr  0.000  0.000  0.000
Ge  0.385  0.385  0.770
Ge  0.615  0.615  0.230
Ag  0.250  0.750  0.500
Ag  0.750  0.250  0.500


13.
# Ta2Ag2Ge

A geometry-optimized Ta2Ag2Ge structure (GGA-PBEsol, Alexandria).

Properties
Energy relative to the elements: 576.8 meV per atom

Lattice parameters (Å, degrees): 3.536 3.536 7.670 103.33 103.33 90.00
Fractional positions:
Ge  0.000  0.000  0.000
Ag  0.250  0.750  0.500
Ag  0.750  0.250  0.500
Ta  0.410  0.410  0.820
Ta  0.590  0.590  0.180


14.
# Tl2AgGeW

A geometry-optimized Tl2AgGeW structure (GGA-PBEsol, Alexandria).

Properties
Energy relative to the elements: 1389.7 meV per atom

Lattice parameters (Å, degrees): 4.817 5.264 5.264 90.00 90.00 90.00
Each line ends with the local moment (μB).
Fractional positions:
Tl  0.000  0.000  0.500  0.00
Tl  0.000  0.500  0.000  0.00
Ge  0.000  0.000  0.000  -0.02
Ag  0.500  0.500  0.500  -0.01
W  0.500  0.000  0.000  1.93


15.
# Ag3GeW

A geometry-optimized Ag3GeW structure (GGA-PBEsol, Alexandria).

Properties
Energy relative to the elements: 1510.5 meV per atom

Lattice parameters (Å, degrees): 4.698 4.698 4.698 90.00 90.00 90.00
Each line ends with the local moment (μB).
Fractional positions:
Ge  0.000  0.000  0.000  -0.04
Ag  0.000  0.500  0.000  0.01
Ag  0.000  0.000  0.500  0.01
Ag  0.500  0.000  0.000  0.01
W  0.500  0.500  0.500  2.93


16.
# YAgGe

A geometry-optimized YAgGe structure (GGA-PBEsol, Alexandria).

Properties
Energy relative to the elements: -730.1 meV per atom

Lattice parameters (Å, degrees): 4.171 7.036 7.036 120.00 90.00 90.00
Fractional positions:
Y  0.000  0.417  0.417
Y  0.000  0.000  0.583
Y  0.000  0.583  0.000
Ag  0.500  0.751  0.751
Ag  0.500  0.000  0.249
Ag  0.500  0.249  0.000
Ge  0.500  0.667  0.333
Ge  0.500  0.333  0.667
Ge  0.000  0.000  0.000


17.
# Zn2AgGe2

A geometry-optimized Zn2AgGe2 structure (GGA-PBEsol, Alexandria).

Properties
Energy relative to the elements: 238.1 meV per atom

Lattice parameters (Å, degrees): 4.016 4.016 6.158 109.03 109.03 90.00
Fractional positions:
Ge  0.390  0.390  0.781
Ge  0.610  0.610  0.219
Zn  0.250  0.750  0.500
Zn  0.750  0.250  0.500
Ag  0.000  0.000  0.000


18.
# Hf3AgH

A geometry-optimized Hf3AgH structure (GGA-PBEsol, Alexandria).

Lattice parameters (Å, degrees): 4.325 4.325 4.325 90.00 90.00 90.00
Fractional positions:
H  0.000  0.000  0.000
Hf  0.000  0.500  0.000
Hf  0.000  0.000  0.500
Hf  0.500  0.000  0.000
Ag  0.500  0.500  0.500


19.
# Hf2AgH

A geometry-optimized Hf2AgH structure (GGA-PBEsol, Alexandria).

Lattice parameters (Å, degrees): 4.533 4.533 4.533 60.00 60.00 60.00
Fractional positions:
H  0.000  0.000  0.000
Hf  0.250  0.250  0.250
Hf  0.750  0.750  0.750
Ag  0.500  0.500  0.500


20.
# HfAg2H2

A geometry-optimized HfAg2H2 structure (GGA-PBEsol, Alexandria).

Lattice parameters (Å, degrees): 4.281 5.419 5.419 90.00 90.00 90.00
Fractional positions:
H  0.000  0.170  0.670
H  0.000  0.670  0.830
H  0.000  0.830  0.330
H  0.000  0.330  0.170
Hf  0.000  0.000  0.000
Hf  0.000  0.500  0.500
Ag  0.500  0.176  0.676
Ag  0.500  0.676  0.824
Ag  0.500  0.824  0.324
Ag  0.500  0.324  0.176


So what do the calculations give for energy? Going down the list: -18.16, -24.22, -26.16, -26.28, -18.26, -149.90, -16.67, -21.21, -112.46, -21.52, -56.88, -20.24, -33.78, -20.37, -21.13, -51.79, -15.16, -38.71, -26.20, -47.71 eV/cell.